No. 1
A relaxed structure of AlTcOs2, computed with PBE-GGA.

## Properties
The calculation puts the formation energy at -86 meV per atom. The total moment comes out at 0.000 μB/atom. The calculated total energy is -9.228 eV/atom.

The structure in CIF format:
```
data_AlTcOs2
_chemical_formula_sum 'Al1 Tc1 Os2'
_symmetry_space_group_name_H-M 'P 4 m m'
_symmetry_Int_Tables_number 99
_symmetry_space_group_name_Hall 'P 4 -2'
_cell_length_a 2.8668
_cell_length_b 2.8668
_cell_length_c 6.8893
_cell_angle_alpha 90.00
_cell_angle_beta 90.00
_cell_angle_gamma 90.00
loop_
_atom_site_label
_atom_site_type_symbol
_atom_site_fract_x
_atom_site_fract_y
_atom_site_fract_z
Al1 Al 0.0000 0.0000 0.0000
Tc1 Tc 0.5000 0.5000 0.7539
Os1 Os 0.0000 0.0000 0.4997
Os2 Os 0.5000 0.5000 0.2360
```

***

No. 2
A relaxed structure of Rb3MnHg, computed with PBE-GGA.

## Properties
The calculation puts the formation energy at 578 meV per atom. The total moment comes out at 0.965 μB/atom. The calculated total energy is -1.897 eV/atom. The value obtained for the relative energy among the computed polymorphs is 0.0 meV per atom.

The structure in CIF format:
```
data_Rb3MnHg
_chemical_formula_sum 'Rb3 Mn1 Hg1'
_symmetry_space_group_name_H-M 'P m -3 m'
_symmetry_Int_Tables_number 221
_symmetry_space_group_name_Hall '-P 4 2 3'
_cell_length_a 6.8562
_cell_length_b 6.8562
_cell_length_c 6.8562
_cell_angle_alpha 90.00
_cell_angle_beta 90.00
_cell_angle_gamma 90.00
loop_
_atom_site_label
_atom_site_type_symbol
_atom_site_fract_x
_atom_site_fract_y
_atom_site_fract_z
Rb1 Rb 0.0000 0.0000 0.5000
Mn1 Mn 0.5000 0.5000 0.5000
Hg1 Hg 0.0000 0.0000 0.0000
```

***

No. 3
A relaxed structure of Rb2DyUSe4, computed with PBE-GGA.

## Properties
The total moment comes out at 0.376 μB/atom. The raw formation energy comes out at -1456.7 meV per atom. The calculated total energy is -5.427 eV/atom.

The structure in CIF format:
```
data_Rb2DyUSe4
_chemical_formula_sum 'Rb2 Dy1 U1 Se4'
_symmetry_space_group_name_H-M 'P 1 2/m 1'
_symmetry_Int_Tables_number 10
_symmetry_space_group_name_Hall '-P 2y'
_cell_length_a 7.3722
_cell_length_b 4.2539
_cell_length_c 8.3922
_cell_angle_alpha 90.00
_cell_angle_beta 107.01
_cell_angle_gamma 90.00
loop_
_atom_site_label
_atom_site_type_symbol
_atom_site_fract_x
_atom_site_fract_y
_atom_site_fract_z
Rb1 Rb 0.0000 0.0000 0.0000
Rb2 Rb 0.5000 0.5000 0.0000
Dy1 Dy 0.0000 0.5000 0.5000
U1 U 0.5000 0.0000 0.5000
Se1 Se 0.2298 0.0000 0.6966
Se2 Se 0.2654 0.5000 0.3026
```

***

No. 4
A relaxed structure of Pa2SbBr, computed with PBE-GGA.

## Properties
The total moment comes out at 1.082 μB/atom. The raw formation energy comes out at 32.9 meV per atom. The calculated total energy is -6.164 eV/atom.

The structure in CIF format:
```
data_Pa2SbBr
_chemical_formula_sum 'Pa6 Sb3 Br3'
_symmetry_space_group_name_H-M 'R -3 m'
_symmetry_Int_Tables_number 166
_symmetry_space_group_name_Hall '-R 3 2"'
_cell_length_a 5.4282
_cell_length_b 5.4282
_cell_length_c 17.0424
_cell_angle_alpha 90.00
_cell_angle_beta 90.00
_cell_angle_gamma 120.00
loop_
_atom_site_label
_atom_site_type_symbol
_atom_site_fract_x
_atom_site_fract_y
_atom_site_fract_z
Pa1 Pa 0.0000 0.0000 0.1683
Sb1 Sb 0.0000 0.0000 0.5000
Br1 Br 0.0000 0.0000 0.0000
```

***

No. 5
A relaxed structure of ScRe3, computed with PBE-GGA.

## Properties
The calculation puts the formation energy at 273 meV per atom. The total moment comes out at 0.000 μB/atom. The calculated total energy is -10.646 eV/atom. The value obtained for the relative energy among the computed polymorphs is 349.3 meV per atom.

The structure in CIF format:
```
data_ScRe3
_chemical_formula_sum 'Sc4 Re12'
_symmetry_space_group_name_H-M 'I 4/m m m'
_symmetry_Int_Tables_number 139
_symmetry_space_group_name_Hall '-I 4 2'
_cell_length_a 3.8301
_cell_length_b 3.8301
_cell_length_c 17.5163
_cell_angle_alpha 90.00
_cell_angle_beta 90.00
_cell_angle_gamma 90.00
loop_
_atom_site_label
_atom_site_type_symbol
_atom_site_fract_x
_atom_site_fract_y
_atom_site_fract_z
Sc1 Sc 0.0000 0.0000 0.1235
Re1 Re 0.0000 0.0000 0.3685
Re2 Re 0.0000 0.5000 0.0000
Re3 Re 0.0000 0.5000 0.2500
```

***

No. 6
A relaxed structure of SrP2H, computed with PBE-GGA.

## Properties
The total moment comes out at 0.000 μB/atom. The calculated total energy is -4.061 eV/atom. The value obtained for the relative energy among the computed polymorphs is 0.0 meV per atom.

The structure in CIF format:
```
data_SrP2H
_chemical_formula_sum 'Sr4 P8 H4'
_symmetry_space_group_name_H-M 'I 41/a m d'
_symmetry_Int_Tables_number 141
_cell_length_a 4.7063
_cell_length_b 4.7063
_cell_length_c 13.8077
_cell_angle_alpha 90.00
_cell_angle_beta 90.00
_cell_angle_gamma 90.00
loop_
_symmetry_equiv_pos_as_xyz
'x,y,z'
'-x,-y,-z'
'-y+1/4,x+3/4,z+1/4'
'y+1/4,-x+3/4,-z+1/4'
'-x+1/2,-y,z+1/2'
'x+1/2,y,-z+1/2'
'y+1/4,-x+1/4,z+3/4'
'-y+1/4,x+1/4,-z+3/4'
'x,-y,-z'
'-x,y,z'
'-y+1/4,-x+1/4,-z+3/4'
'y+1/4,x+1/4,z+3/4'
'-x+1/2,y,-z+1/2'
'x+1/2,-y,z+1/2'
'y+1/4,x+3/4,-z+1/4'
'-y+1/4,-x+3/4,z+1/4'
'x+1/2,y+1/2,z+1/2'
'-x+1/2,-y+1/2,-z+1/2'
'-y+3/4,x+1/4,z+3/4'
'y+3/4,-x+1/4,-z+3/4'
'-x,-y+1/2,z'
'x,y+1/2,-z'
'y+3/4,-x+3/4,z+1/4'
'-y+3/4,x+3/4,-z+1/4'
'x+1/2,-y+1/2,-z+1/2'
'-x+1/2,y+1/2,z+1/2'
'-y+3/4,-x+3/4,-z+1/4'
'y+3/4,x+3/4,z+1/4'
'-x,y+1/2,-z'
'x,-y+1/2,z'
'y+3/4,x+1/4,-z+3/4'
'-y+3/4,-x+1/4,z+3/4'
loop_
_atom_site_label
_atom_site_type_symbol
_atom_site_fract_x
_atom_site_fract_y
_atom_site_fract_z
Sr1 Sr 0.0000 0.2500 0.3750
P1 P 0.0000 0.0000 0.0000
H1 H 0.0000 0.2500 0.8750
```

***

No. 7
A relaxed structure of Zr3TiI, computed with PBE-GGA.

## Properties
The total moment comes out at 0.000 μB/atom. The raw formation energy comes out at 1020.2 meV per atom. The calculated total energy is -5.998 eV/atom. The value obtained for the relative energy among the computed polymorphs is 221.5 meV per atom.

The structure in CIF format:
```
data_Zr3TiI
_chemical_formula_sum 'Zr3 Ti1 I1'
_symmetry_space_group_name_H-M 'P m -3 m'
_symmetry_Int_Tables_number 221
_symmetry_space_group_name_Hall '-P 4 2 3'
_cell_length_a 5.1985
_cell_length_b 5.1985
_cell_length_c 5.1985
_cell_angle_alpha 90.00
_cell_angle_beta 90.00
_cell_angle_gamma 90.00
loop_
_atom_site_label
_atom_site_type_symbol
_atom_site_fract_x
_atom_site_fract_y
_atom_site_fract_z
Zr1 Zr 0.0000 0.0000 0.5000
Ti1 Ti 0.5000 0.5000 0.5000
I1 I 0.0000 0.0000 0.0000
```

***

No. 8
A relaxed structure of DyCuBr, computed with PBE-GGA.

## Properties
The total moment comes out at 0.000 μB/atom. The raw formation energy comes out at -815.5 meV per atom. The calculated total energy is -4.273 eV/atom.

The structure in CIF format:
```
data_DyCuBr
_chemical_formula_sum 'Dy4 Cu4 Br4'
_symmetry_space_group_name_H-M 'C 1 2/m 1'
_symmetry_Int_Tables_number 12
_symmetry_space_group_name_Hall '-C 2y'
_cell_length_a 6.6979
_cell_length_b 3.8650
_cell_length_c 12.6310
_cell_angle_alpha 90.00
_cell_angle_beta 100.41
_cell_angle_gamma 90.00
loop_
_atom_site_label
_atom_site_type_symbol
_atom_site_fract_x
_atom_site_fract_y
_atom_site_fract_z
Dy1 Dy 0.1016 0.0000 0.3101
Cu1 Cu 0.1832 0.0000 0.5481
Br1 Br 0.1176 0.5000 0.8439
```

***

No. 9
A relaxed structure of Li2Hg3OsO6, computed with PBE-GGA.

## Properties
The total moment comes out at 0.000 μB/atom. The raw formation energy comes out at -903.5 meV per atom. The calculated total energy is -4.713 eV/atom.

The structure in CIF format:
```
data_Li2Hg3OsO6
_chemical_formula_sum 'Li4 Hg6 Os2 O12'
_symmetry_space_group_name_H-M 'C 1 2/m 1'
_symmetry_Int_Tables_number 12
_symmetry_space_group_name_Hall '-C 2y'
_cell_length_a 5.3197
_cell_length_b 9.2719
_cell_length_c 7.0218
_cell_angle_alpha 90.00
_cell_angle_beta 107.25
_cell_angle_gamma 90.00
loop_
_atom_site_label
_atom_site_type_symbol
_atom_site_fract_x
_atom_site_fract_y
_atom_site_fract_z
Li1 Li 0.0000 0.1695 0.0000
Hg1 Hg 0.0000 0.0000 0.5000
Hg2 Hg 0.0000 0.3324 0.5000
Os1 Os 0.0000 0.5000 0.0000
O1 O 0.1003 0.3536 0.8504
O2 O 0.1414 0.0000 0.8279
```

***

No. 10
A relaxed structure of ZrRe2Se, computed with PBE-GGA.

## Properties
The total moment comes out at 0.000 μB/atom. The raw formation energy comes out at 225.6 meV per atom. The calculated total energy is -9.007 eV/atom.

The structure in CIF format:
```
data_ZrRe2Se
_chemical_formula_sum 'Zr1 Re2 Se1'
_symmetry_space_group_name_H-M 'P 4/m m m'
_symmetry_Int_Tables_number 123
_symmetry_space_group_name_Hall '-P 4 2'
_cell_length_a 3.7345
_cell_length_b 3.7345
_cell_length_c 4.9697
_cell_angle_alpha 90.00
_cell_angle_beta 90.00
_cell_angle_gamma 90.00
loop_
_atom_site_label
_atom_site_type_symbol
_atom_site_fract_x
_atom_site_fract_y
_atom_site_fract_z
Zr1 Zr 0.0000 0.0000 0.0000
Re1 Re 0.0000 0.5000 0.5000
Se1 Se 0.5000 0.5000 0.0000
```

***

No. 11
A relaxed structure of Tb3Ge2Pt, computed with PBE-GGA.

## Properties
The calculation puts the formation energy at -974 meV per atom. The total moment comes out at 0.000 μB/atom. The calculated total energy is -5.835 eV/atom.

The structure in CIF format:
```
data_Tb3Ge2Pt
_chemical_formula_sum 'Tb12 Ge8 Pt4'
_symmetry_space_group_name_H-M 'P n m a'
_symmetry_Int_Tables_number 62
_symmetry_space_group_name_Hall '-P 2ac 2n'
_cell_length_a 11.6396
_cell_length_b 4.3049
_cell_length_c 11.4051
_cell_angle_alpha 90.00
_cell_angle_beta 90.00
_cell_angle_gamma 90.00
loop_
_atom_site_label
_atom_site_type_symbol
_atom_site_fract_x
_atom_site_fract_y
_atom_site_fract_z
Tb1 Tb 0.0547 0.2500 0.1279
Tb2 Tb 0.1209 0.7500 0.5587
Tb3 Tb 0.2185 0.2500 0.8078
Ge1 Ge 0.0097 0.7500 0.3085
Ge2 Ge 0.1860 0.7500 0.0050
Pt1 Pt 0.1284 0.2500 0.3722
```

***

No. 12
A relaxed structure of ThSnRh4, computed with PBE-GGA.

## Properties
The calculation puts the formation energy at -541 meV per atom. The total moment comes out at 0.000 μB/atom. The calculated total energy is -7.346 eV/atom. The value obtained for the relative energy among the computed polymorphs is 0.0 meV per atom.

The structure in CIF format:
```
data_ThSnRh4
_chemical_formula_sum 'Th4 Sn4 Rh16'
_symmetry_space_group_name_H-M 'F -4 3 m'
_symmetry_Int_Tables_number 216
_symmetry_space_group_name_Hall 'F -4 2 3'
_cell_length_a 7.5822
_cell_length_b 7.5822
_cell_length_c 7.5822
_cell_angle_alpha 90.00
_cell_angle_beta 90.00
_cell_angle_gamma 90.00
loop_
_atom_site_label
_atom_site_type_symbol
_atom_site_fract_x
_atom_site_fract_y
_atom_site_fract_z
Th1 Th 0.0000 0.0000 0.0000
Sn1 Sn 0.2500 0.2500 0.7500
Rh1 Rh 0.1238 0.1238 0.3762
```